Computed, not measured: crystalline La2OsAu at its relaxed geometry at the PBE level of DFT.

abc: 4.3049 4.3049 6.0138
angles: 90.00 90.00 90.00
With the nearest neighbours (Å) after each atom.
Space group P4mm (No. 99)
Asymmetric unit:
La: 0.0000 0.0000 0.0000  1 Os 2.69
La: 0.5000 0.5000 0.4537  2 Au 2.98-3.04, 4 Os 3.04
Os: 0.0000 0.0000 0.4466  1 La 2.69
Au: 0.5000 0.5000 0.9486  6 La 2.98-3.06

Values from the calculation:
DOS(E_F) ... 0.730 states/eV/atom
ΔE_f ... -0.17 eV per atom